# 1
Here is a relaxed HoErTmMg crystal from Alexandria. Energies are from PBE.

For the formation energy, the calculation gives -22 meV per atom. The value obtained for the density of states at the Fermi level is 5.2 states/eV/f.u.

The space group is P4mm (No. 99) and the conventional cell measures 3.528, 3.528 and 9.281 Å, with angles of 90.00, 90.00 and 90.00 degrees. The inequivalent atoms are Ho at (0.000, 0.000, 0.000), Er at (0.000, 0.000, 0.520), Tm at (0.500, 0.500, 0.261) and Mg at (0.500, 0.500, 0.759).


# 2
Here is a relaxed Ta14NbAl crystal from Alexandria. Energies are from PBE.

For the formation energy, the calculation gives -22 meV per atom. The value obtained for the density of states at the Fermi level is 21.0 states/eV/f.u.

The space group is Cmmm (No. 65) and the conventional cell measures 6.590, 9.403 and 9.369 Å, with angles of 90.00, 90.00 and 90.00 degrees. The inequivalent atoms are Ta at (0.000, 0.000, 0.000), Ta at (0.000, 0.247, 0.250), Ta at (0.000, 0.500, 0.000), Ta at (0.243, 0.500, 0.251), Ta at (0.250, 0.250, 0.000), Ta at (0.250, 0.250, 0.500), Nb at (0.000, 0.500, 0.500) and Al at (0.000, 0.000, 0.500).


# 3
Here is a relaxed BaCdBr4 crystal from Alexandria. Energies are from PBE.

As for the total energy: -12.9 eV/f.u. The value obtained for the density of states at the Fermi level is 3.7 states/eV/f.u.

The space group is F-43m (No. 216) and the conventional cell measures 9.309, 9.309 and 9.309 Å, with angles of 90.00, 90.00 and 90.00 degrees. The inequivalent atoms are Ba at (0.000, 0.000, 0.000), Cd at (0.250, 0.250, 0.250) and Br at (0.125, 0.125, 0.625).


# 4
Here is a relaxed GaRuWI2 crystal from Alexandria. Energies are from PBE.

As for the total energy: -21.1 eV/f.u. The value obtained for the density of states at the Fermi level is 4.4 states/eV/f.u.

The space group is P4/mmm (No. 123) and the conventional cell measures 5.356, 5.356 and 4.612 Å, with angles of 90.00, 90.00 and 90.00 degrees. The inequivalent atoms are Ga at (0.000, 0.000, 0.000), Ru at (0.000, 0.000, 0.500), W at (0.500, 0.500, 0.000) and I at (0.000, 0.500, 0.500).